Entry 1:
Here is crystalline BaZnGa2Ir at its relaxed geometry from OQMD. Energies are from PBE.

Summary:
relative energy among the computed polymorphs = 154 meV/atom
symmetry = I-4m2

Unit cell a=6.283 b=6.283 c=6.283 alpha=138.36 beta=138.36 gamma=60.35
Sites, in units of the cell vectors:
1 Ba 0.000 0.000 0.000
2 Ga 0.362 0.362 0.000
3 Ga 0.638 0.638 0.000
4 Ir 0.250 0.750 0.500
5 Zn 0.750 0.250 0.500

***

Entry 2:
Here is crystalline BaZnGa2Ir at its relaxed geometry from OQMD. Energies are from PBE.

Summary:
relative energy among the computed polymorphs = 0 meV/atom
symmetry = P4/mmm

Unit cell a=4.859 b=4.859 c=4.972 alpha=90.00 beta=90.00 gamma=90.00
Sites, in units of the cell vectors:
1 Ba 0.000 0.000 0.500
2 Ga 0.500 0.000 0.000
3 Ga 0.000 0.500 0.000
4 Ir 0.500 0.500 0.000
5 Zn 0.500 0.500 0.500

***

Entry 3:
Here is crystalline BaLa2Ga2Ni4 at its relaxed geometry from OQMD. Energies are from PBE.

Summary:
total energy = -4.8563 eV per atom
symmetry = C2/m

Unit cell a=5.765 b=5.765 c=8.248 alpha=99.11 beta=99.11 gamma=42.78
Sites, in units of the cell vectors:
1 Ba 0.000 0.000 0.000
2 Ga 0.319 0.319 0.220
3 Ga 0.681 0.681 0.780
4 La 0.621 0.621 0.383
5 La 0.379 0.379 0.617
6 Ni 0.744 0.744 0.090
7 Ni 0.911 0.911 0.371
8 Ni 0.089 0.089 0.629
9 Ni 0.256 0.256 0.910

***

Entry 4:
Here is crystalline Ba2LaGa2Ni4 at its relaxed geometry from OQMD. Energies are from PBE.

Summary:
total energy = -4.4120 eV per atom
symmetry = C2/m

Unit cell a=5.773 b=5.773 c=8.821 alpha=96.45 beta=96.45 gamma=43.60
Sites, in units of the cell vectors:
1 Ba 0.376 0.376 0.115
2 Ba 0.624 0.624 0.885
3 Ga 0.675 0.675 0.306
4 Ga 0.325 0.325 0.694
5 La 0.000 0.000 0.500
6 Ni 0.094 0.094 0.200
7 Ni 0.257 0.257 0.423
8 Ni 0.743 0.743 0.577
9 Ni 0.906 0.906 0.800

***

Entry 5:
Here is crystalline BaLuGaSe3 at its relaxed geometry from OQMD. Energies are from PBE.

Summary:
total energy = -4.6768 eV per atom
symmetry = Cmcm

Unit cell a=7.601 b=7.601 c=11.709 alpha=90.00 beta=90.00 gamma=148.47
Sites, in units of the cell vectors:
1 Ba 0.800 0.200 0.250
2 Ba 0.200 0.800 0.750
3 Ga 0.110 0.890 0.250
4 Ga 0.890 0.110 0.750
5 Lu 0.500 0.500 0.000
6 Lu 0.500 0.500 0.500
7 Se 0.129 0.871 0.007
8 Se 0.491 0.509 0.250
9 Se 0.129 0.871 0.493
10 Se 0.871 0.129 0.507
11 Se 0.509 0.491 0.750
12 Se 0.871 0.129 0.993

***

Entry 6:
Here is crystalline BaLuGaTe3 at its relaxed geometry from OQMD. Energies are from PBE.

Summary:
total energy = -4.1839 eV per atom
symmetry = Cmcm

Unit cell a=7.745 b=7.745 c=12.108 alpha=90.00 beta=90.00 gamma=146.41
Sites, in units of the cell vectors:
1 Ba 0.743 0.257 0.250
2 Ba 0.257 0.743 0.750
3 Ga 0.054 0.946 0.250
4 Ga 0.946 0.054 0.750
5 Lu 0.500 0.500 0.000
6 Lu 0.500 0.500 0.500
7 Te 0.141 0.859 0.025
8 Te 0.432 0.568 0.250
9 Te 0.141 0.859 0.475
10 Te 0.859 0.141 0.525
11 Te 0.568 0.432 0.750
12 Te 0.859 0.141 0.975

***

Entry 7:
Here is crystalline BaMg2GaPt at its relaxed geometry from OQMD. Energies are from PBE.

Summary:
total energy = -3.3512 eV per atom
symmetry = I4mm

Unit cell a=6.778 b=6.778 c=6.778 alpha=140.69 beta=140.69 gamma=56.81
Sites, in units of the cell vectors:
1 Ba 0.997 0.997 0.000
2 Ga 0.605 0.605 0.000
3 Mg 0.756 0.256 0.500
4 Mg 0.256 0.756 0.500
5 Pt 0.386 0.386 0.000

***

Entry 8:
Here is crystalline Ba2Ga2PdN at its relaxed geometry from OQMD. Energies are from PBE.

Summary:
total energy = -4.3401 eV per atom
symmetry = Cm

Unit cell a=4.467 b=4.467 c=10.446 alpha=92.47 beta=92.47 gamma=58.42
Sites, in units of the cell vectors:
1 Ba 0.188 0.188 0.193
2 Ba 0.919 0.919 0.762
3 Ga 0.875 0.875 0.387
4 Ga 0.226 0.226 0.524
5 N 0.244 0.244 0.701
6 Pd 0.549 0.549 0.433